A plane-wave DFT calculation with PBE-GGA was carried out for a relaxed LiDyPuMn crystal.

Geometry as POSCAR:
```
LiDyPuMn
1.0
0.000 3.503 3.503
3.503 0.000 3.503
3.503 3.503 0.000
Li Dy Pu Mn
1 1 1 1
direct
0.000 0.000 0.000
0.250 0.250 0.250
0.750 0.750 0.750
0.500 0.500 0.500
```

Output
The magnetic moment comes out at 7.855 μB/cell. As for the total DFT energy (no corrections): -7.150 eV/atom. For the density of states at the Fermi level, the calculation gives 8.56 states/eV/cell. The value obtained for the formation energy is 0.355 eV per atom.

---

A plane-wave DFT calculation with PBE-GGA was carried out for a relaxed Ti2CoRe crystal.

Geometry as POSCAR:
```
Ti2CoRe
1.0
-3.353 3.353 2.665
3.353 -3.353 2.665
3.353 3.353 -2.665
Ti Co Re
4 2 2
direct
0.100 0.625 0.975
0.375 0.350 0.475
0.650 0.125 0.025
0.875 0.900 0.525
0.000 0.000 0.000
0.750 0.250 0.500
0.250 0.750 0.500
0.500 0.500 0.000
```

Output
The distance to the lowest polymorph of the same formula is 0.6437 eV/atom. The magnetic moment comes out at 0.000 μB/cell. As for the total DFT energy (no corrections): -8.631 eV/atom. For the density of states at the Fermi level, the calculation gives 5.61 states/eV/cell. The value obtained for the formation energy is 0.205 eV per atom.